Below is crystalline TlCdWO2 at its relaxed geometry, with properties calculated at the PBE+U level.

Lattice parameters (Å, degrees): 4.2417 4.2417 6.1781 90.00 90.00 90.00
Closest atoms and distances in Å follow each position.
Space group P4/mmm (No. 123)
One atom of each set of equivalent atoms:
Tl (0.0000, 0.0000, 0.0000) x1  4 O 2.12
Cd (0.0000, 0.0000, 0.5000) x1  4 W 3.00, 2 Tl 3.09
W (0.5000, 0.5000, 0.5000) x1  4 Cd 3.00
O (0.0000, 0.5000, 0.0000) x2  2 Tl 2.12

## Properties
E = -3.21 eV/atom